# LaCuF2 meta-GGA SCAN single point on PBEsol structure
data_LaCuF2
_chemical_formula_sum 'La1 Cu1 F2'
_cell_length_a 6.277
_cell_length_b 6.277
_cell_length_c 6.277
_cell_angle_alpha 34.99
_cell_angle_beta 34.99
_cell_angle_gamma 34.99
_symmetry_space_group_name_H-M 'P 1'
_symmetry_Int_Tables_number 1
loop_
_symmetry_equiv_pos_as_xyz
'x,y,z'
loop_
_atom_site_label
_atom_site_fract_x
_atom_site_fract_y
_atom_site_fract_z
La1 0.000 0.000 0.000
Cu1 0.500 0.500 0.500
F1 0.127 0.127 0.127
F2 0.873 0.873 0.873
# crystal system	trigonal
# DOS(E_F)	1.2	states/eV/cell
# total magnetic moment	0.00	μB/f.u.



# La2CuF meta-GGA SCAN single point on PBEsol structure
data_La2CuF
_chemical_formula_sum 'La2 Cu1 F1'
_cell_length_a 4.895
_cell_length_b 4.895
_cell_length_c 4.895
_cell_angle_alpha 60.00
_cell_angle_beta 60.00
_cell_angle_gamma 60.00
_symmetry_space_group_name_H-M 'P 1'
_symmetry_Int_Tables_number 1
loop_
_symmetry_equiv_pos_as_xyz
'x,y,z'
loop_
_atom_site_label
_atom_site_fract_x
_atom_site_fract_y
_atom_site_fract_z
La1 0.250 0.250 0.250
La2 0.750 0.750 0.750
Cu1 0.000 0.000 0.000
F1 0.500 0.500 0.500
# crystal system	cubic
# DOS(E_F)	4.7	states/eV/cell
# total magnetic moment	0.00	μB/f.u.



no.,uncorrected formation energy (meV/atom)
1,-1692
2,-1039